BC | PBE | optimized geometry

The calculation puts the total moment at 0.00 μB/f.u. The calculation puts the formation energy at 0.456 eV/atom. The total energy is -89.9 eV per cell.

It has space group Pm (No. 6), with a = 4.729 Å, b = 2.659 Å, c = 6.512 Å, α = 90.00°, β = 97.58° and γ = 90.00°. The asymmetric unit holds B at (0.000, 0.000, 0.000), B at (0.007, 0.000, 0.581), B at (0.488, 0.500, 0.722), B at (0.697, 0.000, 0.310), B at (0.817, 0.500, 0.637), B at (0.933, 0.500, 0.393), C at (0.189, 0.500, 0.041), C at (0.225, 0.500, 0.283), C at (0.352, 0.000, 0.603), C at (0.384, 0.000, 0.373), C at (0.499, 0.500, 0.975) and C at (0.671, 0.000, 0.043).